Entry from Alexandria via LeMat-Bulk: a crystal of TaZnCr2 relaxed with PBEsol (SCAN).

- DOS at the Fermi energy (states/eV/cell) = 2.5
- SG = Cmm2, No. 35
- E_form (eV/f.u.) = 0.69

Unit cell a=2.612 b=2.612 c=8.409 alpha=90.00 beta=90.00 gamma=109.41
Sites, in units of the cell vectors:
1 Zn 0.500 0.500 0.231
2 Ta 0.000 0.000 0.512
3 Cr 0.500 0.500 0.773
4 Cr 0.000 0.000 0.983



Entry from Alexandria via LeMat-Bulk: a crystal of LiTeOs relaxed with PBEsol (SCAN).

- DOS at the Fermi energy (states/eV/cell) = 1.3
- SG = P3m1, No. 156
- formation energy without anion corrections (eV per atom) = 0.412

Unit cell a=3.099 b=3.099 c=6.525 alpha=90.00 beta=90.00 gamma=120.00
Sites, in units of the cell vectors:
1 Os 0.667 0.333 0.659
2 Li 0.000 0.000 0.976
3 Te 0.333 0.667 0.365



Entry from Alexandria via LeMat-Bulk: a crystal of Ca2AlCu relaxed with PBEsol (SCAN).

- DOS at the Fermi energy (states/eV/cell) = 2.8
- SG = Amm2, No. 38
- E_form (eV/f.u.) = -0.62

Unit cell a=4.267 b=4.349 c=5.849 alpha=90.00 beta=111.41 gamma=90.00
Sites, in units of the cell vectors:
1 Cu 0.321 0.000 0.518
2 Ca 0.728 0.500 0.331
3 Ca 0.020 0.000 0.915
4 Al 0.430 0.500 0.735



Entry from Alexandria via LeMat-Bulk: a crystal of KCdW2 relaxed with PBEsol (SCAN).

- DOS at the Fermi energy (states/eV/cell) = 2.8
- SG = P2/m, No. 10
- E_form (eV/f.u.) = 5.53

Unit cell a=2.674 b=5.281 c=5.497 alpha=90.00 beta=90.00 gamma=95.16
Sites, in units of the cell vectors:
1 W 0.769 0.750 0.000
2 W 0.231 0.250 0.000
3 K 0.500 0.000 0.500
4 Cd 0.000 0.500 0.500



Entry from Alexandria via LeMat-Bulk: a crystal of AlCu2Ni3 relaxed with PBEsol (SCAN).

- DOS at the Fermi energy (states/eV/cell) = 9.9
- SG = P-3m1, No. 164
- E_form (eV/f.u.) = -1.61

Unit cell a=4.987 b=4.987 c=6.141 alpha=90.00 beta=90.00 gamma=120.00
Sites, in units of the cell vectors:
1 Ni 0.165 0.329 0.668
2 Ni 0.329 0.165 0.332
3 Ni 0.165 0.835 0.668
4 Ni 0.671 0.835 0.668
5 Ni 0.835 0.671 0.332
6 Ni 0.835 0.165 0.332
7 Cu 0.000 0.000 0.000
8 Cu 0.500 0.000 0.000
9 Cu 0.000 0.500 0.000
10 Cu 0.500 0.500 0.000
11 Al 0.333 0.667 0.349
12 Al 0.667 0.333 0.651



Entry from Alexandria via LeMat-Bulk: a crystal of Mg2Ge2Rh relaxed with PBEsol (SCAN).

- DOS at the Fermi energy (states/eV/cell) = 2.2
- SG = P4/mbm, No. 127
- E_form (eV/f.u.) = -2.37

Unit cell a=4.141 b=6.398 c=6.398 alpha=90.00 beta=90.00 gamma=90.00
Sites, in units of the cell vectors:
1 Rh 0.000 0.500 0.500
2 Rh 0.000 0.000 0.000
3 Mg 0.500 0.825 0.325
4 Mg 0.500 0.175 0.675
5 Mg 0.500 0.325 0.175
6 Mg 0.500 0.675 0.825
7 Ge 0.000 0.363 0.863
8 Ge 0.000 0.637 0.137
9 Ge 0.000 0.863 0.637
10 Ge 0.000 0.137 0.363



Entry from Alexandria via LeMat-Bulk: a crystal of CoIr2Pt relaxed with PBEsol (SCAN).

- DOS at the Fermi energy (states/eV/cell) = 3.9
- SG = Cm, No. 8
- E_form (eV/f.u.) = 0.10

Unit cell a=2.694 b=4.610 c=4.614 alpha=99.91 beta=90.00 gamma=106.99
Each line ends with the local moment (μB).
Sites, in units of the cell vectors:
1 Ir 0.002 0.004 0.997  0.07
2 Ir 0.253 0.506 0.765  0.16
3 Co 0.747 0.494 0.248  1.97
4 Pt 0.498 0.995 0.490  0.12



Entry from Alexandria via LeMat-Bulk: a crystal of Sc4Al relaxed with PBEsol (SCAN).

- DOS at the Fermi energy (states/eV/cell) = 4.4
- SG = I4/m, No. 87
- E_form (eV/f.u.) = -0.67

Unit cell a=4.393 b=5.398 c=5.398 alpha=80.47 beta=65.99 gamma=65.99
Each line ends with the local moment (μB).
Sites, in units of the cell vectors:
1 Sc 0.800 0.593 0.808  0.35
2 Sc 0.392 0.808 0.407  0.35
3 Sc 0.200 0.407 0.192  0.35
4 Sc 0.608 0.192 0.593  0.35
5 Al 0.000 0.000 0.000  -0.03



Entry from Alexandria via LeMat-Bulk: a crystal of TaCrHg4 relaxed with PBEsol (SCAN).

- DOS at the Fermi energy (states/eV/cell) = 2.3
- SG = F-43m, No. 216
- E_form (eV/f.u.) = 4.48

Unit cell a=5.520 b=5.520 c=5.520 alpha=60.00 beta=60.00 gamma=60.00
Each line ends with the local moment (μB).
Sites, in units of the cell vectors:
1 Cr 0.000 0.000 0.000  3.72
2 Ta 0.750 0.750 0.750  -1.67
3 Hg 0.375 0.375 0.375  -0.07
4 Hg 0.375 0.375 0.875  -0.07
5 Hg 0.875 0.375 0.375  -0.07
6 Hg 0.375 0.875 0.375  -0.07



Entry from Alexandria via LeMat-Bulk: a crystal of Ni2SbOs relaxed with PBEsol (SCAN).

- DOS at the Fermi energy (states/eV/cell) = 3.9
- SG = R-3m, No. 166
- formation energy without anion corrections (eV per atom) = 0.516

Unit cell a=2.847 b=2.847 c=8.275 alpha=80.09 beta=80.09 gamma=60.00
Sites, in units of the cell vectors:
1 Sb 0.000 0.000 0.000
2 Ni 0.753 0.753 0.742
3 Ni 0.247 0.247 0.258
4 Os 0.500 0.500 0.500



Entry from Alexandria via LeMat-Bulk: a crystal of CdCu3 relaxed with PBEsol (SCAN).

- DOS at the Fermi energy (states/eV/cell) = 1.1
- SG = P4/mmm, No. 123
- E_form (eV/f.u.) = 0.25

Unit cell a=2.965 b=2.965 c=6.059 alpha=90.00 beta=90.00 gamma=90.00
Sites, in units of the cell vectors:
1 Cu 0.000 0.000 0.500
2 Cu 0.500 0.500 0.714
3 Cu 0.500 0.500 0.286
4 Cd 0.000 0.000 0.000



Entry from Alexandria via LeMat-Bulk: a crystal of V2MoS4 relaxed with PBEsol (SCAN).

- DOS at the Fermi energy (states/eV/cell) = 2.5
- SG = Cm, No. 8
- formation energy without anion corrections (eV per atom) = -1.049

Unit cell a=3.170 b=5.847 c=6.416 alpha=113.76 beta=104.30 gamma=90.00
Each line ends with the local moment (μB).
Sites, in units of the cell vectors:
1 V 0.001 0.005 0.002  1.93
2 V 0.741 0.678 0.483  0.63
3 Mo 0.260 0.317 0.519  -0.04
4 S 0.898 0.565 0.795  -0.03
5 S 0.360 0.019 0.719  -0.04
6 S 0.105 0.449 0.209  -0.04
7 S 0.636 0.967 0.273  -0.04



Entry from Alexandria via LeMat-Bulk: a crystal of Ca2CuRu relaxed with PBEsol (SCAN).

- DOS at the Fermi energy (states/eV/cell) = 4.2
- SG = P4mm, No. 99
- E_form (eV/f.u.) = 0.84

Unit cell a=3.347 b=3.347 c=8.001 alpha=90.00 beta=90.00 gamma=90.00
Sites, in units of the cell vectors:
1 Ca 0.500 0.500 0.335
2 Ca 0.000 0.000 0.917
3 Cu 0.000 0.000 0.570
4 Ru 0.500 0.500 0.677



Entry from Alexandria via LeMat-Bulk: a crystal of Mn2AlTl relaxed with PBEsol (SCAN).

- DOS at the Fermi energy (states/eV/cell) = 1.8
- SG = P4mm, No. 99
- E_form (eV/f.u.) = 0.67

Unit cell a=2.819 b=2.819 c=7.610 alpha=90.00 beta=90.00 gamma=90.00
Each line ends with the local moment (μB).
Sites, in units of the cell vectors:
1 Mn 0.000 0.000 0.027  -2.49
2 Mn 0.500 0.500 0.185  3.15
3 Tl 0.000 0.000 0.465  0.01
4 Al 0.500 0.500 0.823  0.05



Entry from Alexandria via LeMat-Bulk: a crystal of BaAg3 relaxed with PBEsol (SCAN).

- DOS at the Fermi energy (states/eV/cell) = 2.0
- SG = P-6m2, No. 187
- E_form (eV/f.u.) = 0.59

Unit cell a=4.239 b=4.239 c=7.230 alpha=90.00 beta=90.00 gamma=120.00
Sites, in units of the cell vectors:
1 Ba 0.333 0.667 0.500
2 Ag 0.000 0.000 0.187
3 Ag 0.333 0.667 0.000
4 Ag 0.000 0.000 0.813



Entry from Alexandria via LeMat-Bulk: a crystal of ZnSnP2I relaxed with PBEsol (SCAN).

- DOS at the Fermi energy (states/eV/cell) = 3.3
- SG = P4/mmm, No. 123
- formation energy without anion corrections (eV per atom) = 1.261

Unit cell a=5.069 b=5.118 c=5.118 alpha=90.00 beta=90.00 gamma=90.00
Sites, in units of the cell vectors:
1 P 0.000 0.000 0.500
2 P 0.000 0.500 0.000
3 Sn 0.500 0.500 0.500
4 I 0.000 0.000 0.000
5 Zn 0.500 0.000 0.000



Entry from Alexandria via LeMat-Bulk: a crystal of K2CoF4 relaxed with PBEsol (SCAN).

- DOS at the Fermi energy (states/eV/cell) = 4.1
- SG = I4/mmm, No. 139
- formation energy without anion corrections (eV per atom) = -2.635

Unit cell a=4.005 b=4.005 c=7.120 alpha=106.34 beta=106.34 gamma=90.00
Each line ends with the local moment (μB).
Sites, in units of the cell vectors:
1 Co 0.000 0.000 0.000  2.73
2 F 0.500 0.000 0.000  0.07
3 F 0.156 0.156 0.311  0.05
4 F 0.844 0.844 0.689  0.05
5 F 0.000 0.500 0.000  0.07
6 K 0.645 0.645 0.291  0.00
7 K 0.355 0.355 0.709  0.00



Entry from Alexandria via LeMat-Bulk: a crystal of Hg3Bi2S2Cl8 relaxed with PBEsol (SCAN).

- DOS at the Fermi energy (states/eV/cell) = 0.0
- SG = C2/m, No. 12
- formation energy without anion corrections (eV per atom) = -0.741

Unit cell a=7.424 b=7.461 c=9.263 alpha=113.95 beta=90.00 gamma=119.84
Sites, in units of the cell vectors:
1 Cl 0.240 0.000 0.500
2 Cl 0.925 0.389 0.290
3 Cl 0.950 0.900 0.146
4 Cl 0.536 0.611 0.710
5 Cl 0.050 0.100 0.854
6 Cl 0.760 0.000 0.500
7 Cl 0.464 0.389 0.290
8 Cl 0.075 0.611 0.710
9 Bi 0.868 0.735 0.563
10 Bi 0.132 0.265 0.437
11 S 0.379 0.757 0.131
12 S 0.621 0.243 0.869
13 Hg 0.500 0.000 0.000
14 Hg 0.000 0.500 0.000
15 Hg 0.500 0.500 0.000



Entry from Alexandria via LeMat-Bulk: a crystal of NaGd3Ti2Sb2O14 relaxed with PBEsol (SCAN).

- DOS at the Fermi energy (states/eV/cell) = 0.0
- SG = C2/m, No. 12
- formation energy without anion corrections (eV per atom) = -2.926

Unit cell a=7.188 b=7.229 c=7.229 alpha=119.16 beta=119.36 gamma=60.64
Each line ends with the local moment (μB).
Sites, in units of the cell vectors:
1 O 0.818 0.429 0.571  -0.01
2 O 0.824 0.822 0.563  -0.01
3 O 0.871 0.869 0.131  -0.03
4 O 0.129 0.131 0.869  -0.03
5 O 0.578 0.578 0.825  -0.01
6 O 0.182 0.571 0.429  -0.01
7 O 0.425 0.830 0.170  -0.01
8 O 0.422 0.825 0.578  -0.01
9 O 0.176 0.563 0.822  -0.01
10 O 0.575 0.170 0.830  -0.01
11 O 0.422 0.422 0.175  -0.01
12 O 0.176 0.178 0.437  -0.01
13 O 0.578 0.175 0.422  -0.01
14 O 0.824 0.437 0.178  -0.01
15 Sb 0.500 0.000 0.500  0.00
16 Sb 0.500 0.500 0.000  0.00
17 Gd 0.000 0.000 0.500  6.96
18 Gd 0.000 0.500 0.000  6.96
19 Gd 0.500 0.000 0.000  6.96
20 Ti 0.500 0.500 0.500  0.00
21 Ti 0.000 0.500 0.500  0.00
22 Na 0.000 0.000 0.000  0.00



Entry from Alexandria via LeMat-Bulk: a crystal of AlSiNi3 relaxed with PBEsol (SCAN).

- DOS at the Fermi energy (states/eV/cell) = 2.1
- SG = Pm-3m, No. 221
- formation energy without anion corrections (eV per atom) = 0.195

Unit cell a=4.109 b=4.109 c=4.109 alpha=90.00 beta=90.00 gamma=90.00
Sites, in units of the cell vectors:
1 Ni 0.000 0.500 0.000
2 Ni 0.000 0.000 0.500
3 Ni 0.500 0.000 0.000
4 Si 0.000 0.000 0.000
5 Al 0.500 0.500 0.500